# 1
Here is a relaxed Pu2BN3 crystal from Alexandria. Energies are from GGA-PBE.

Summary:
N(E_F) (states/eV/f.u.): 10.061
Total moment (μB/f.u.): 8.22
Crystal system: orthorhombic
Space group: Immm
Raw formation energy (meV/atom): -758

POSCAR file:
```
Pu2BN3
1.0
-0.9558 -0.1944 3.3062
0.9234 -3.1046 0.0844
5.6503 3.3724 0.0348
N Pu B
3 2 1
direct
0.8309 0.8309 0.6618
0.0000 0.5000 0.0000
0.1691 0.1691 0.3382
0.3591 0.3591 0.7182
0.6409 0.6409 0.2818
0.0000 0.0000 0.0000
```

# 2
Here is a relaxed SrPuBN3 crystal from Alexandria. Energies are from GGA-PBE.

Summary:
N(E_F) (states/eV/f.u.): 6.589
Total moment (μB/f.u.): 4.00
Crystal system: hexagonal
Space group: P6_3/mmc
Raw formation energy (meV/atom): -1005

POSCAR file:
```
SrPuBN3
1.0
-2.0295 -4.1262 -3.1890
4.2590 3.1257 -1.8451
4.0460 -3.9874 2.5844
N Sr Pu B
6 2 2 2
direct
0.8193 0.6386 0.7500
0.8193 0.1807 0.7500
0.1807 0.8193 0.2500
0.1807 0.3614 0.2500
0.3614 0.1807 0.7500
0.6386 0.8193 0.2500
0.6667 0.3333 0.2500
0.3333 0.6667 0.7500
0.0000 0.0000 0.5000
0.0000 0.0000 0.0000
0.6667 0.3333 0.7500
0.3333 0.6667 0.2500
```

# 3
Here is a relaxed RbBN3 crystal from Alexandria. Energies are from GGA-PBE.

Summary:
N(E_F) (states/eV/f.u.): 4.036
Total moment (μB/f.u.): 7.00
Crystal system: cubic
Space group: Pm-3m
Raw formation energy (meV/atom): 3821

POSCAR file:
```
RbBN3
1.0
5.0764 0.0000 0.0000
0.0000 5.0764 0.0000
0.0000 0.0000 5.0764
N B Rb
3 1 1
direct
0.5000 0.0000 0.0000
0.0000 0.0000 0.5000
0.0000 0.5000 0.0000
0.5000 0.5000 0.5000
0.0000 0.0000 0.0000
```

# 4
Here is a relaxed Rb3BN2 crystal from Alexandria. Energies are from GGA-PBE.

Summary:
Total moment (μB/f.u.): 0.00
Crystal system: monoclinic
Energy above the most stable polymorph in this dataset (eV/atom): 0.000
Space group: P2_1/c
Raw formation energy (meV/atom): -360

POSCAR file:
```
Rb3BN2
1.0
-5.3680 -3.3189 -6.6596
4.3072 -5.3765 -0.7924
-2.3612 -7.3812 5.5818
N Rb B
8 12 4
direct
0.8997 0.6188 0.7314
0.7452 0.9815 0.6304
0.3997 0.3812 0.7686
0.2452 0.0185 0.8696
0.7548 0.9815 0.1304
0.1003 0.3812 0.2686
0.6003 0.6188 0.2314
0.2548 0.0185 0.3696
0.2065 0.7339 0.6939
0.7935 0.2661 0.3061
0.5406 0.7742 0.8897
0.0432 0.2524 0.0035
0.7065 0.2661 0.8061
0.5432 0.7476 0.4965
0.0406 0.2258 0.6103
0.2935 0.7339 0.1939
0.9594 0.7742 0.3897
0.4568 0.2524 0.5035
0.9568 0.7476 0.9965
0.4594 0.2258 0.1103
0.6774 0.8003 0.1808
0.8226 0.8003 0.6808
0.3226 0.1997 0.8192
0.1774 0.1997 0.3192
```

# 5
Here is a relaxed RbBN3 crystal from Alexandria. Energies are from GGA-PBE.

Summary:
N(E_F) (states/eV/f.u.): 3.230
Total moment (μB/f.u.): 0.05
Crystal system: cubic
Space group: Pm-3m
Raw formation energy (meV/atom): 2012

POSCAR file:
```
RbBN3
1.0
-0.0484 3.0496 2.0409
-1.8670 -1.7776 2.6119
3.1591 -1.0039 1.5749
Rb N B
1 3 1
direct
0.5000 0.5000 0.5000
0.5000 0.0000 0.0000
0.0000 0.5000 0.0000
0.0000 0.0000 0.5000
0.0000 0.0000 0.0000
```

# 6
Here is a relaxed RbB3N3 crystal from Alexandria. Energies are from GGA-PBE.

Summary:
N(E_F) (states/eV/f.u.): 2.794
Total moment (μB/f.u.): 0.00
Crystal system: cubic
Space group: Pm-3n
Raw formation energy (meV/atom): 236

POSCAR file:
```
RbB3N3
1.0
-2.1830 -3.3695 2.7111
4.1566 -2.4733 0.2730
1.1943 2.4492 4.0056
B N Rb
6 6 2
direct
0.5000 0.7500 0.0000
0.0000 0.5000 0.2500
0.2500 0.0000 0.5000
0.7500 0.0000 0.5000
0.0000 0.5000 0.7500
0.5000 0.2500 0.0000
0.5000 0.0000 0.2500
0.0000 0.7500 0.5000
0.0000 0.2500 0.5000
0.7500 0.5000 0.0000
0.2500 0.5000 0.0000
0.5000 0.0000 0.7500
0.5000 0.5000 0.5000
0.0000 0.0000 0.0000
```

# 7
Here is a relaxed Rb3BN2 crystal from Alexandria. Energies are from GGA-PBE.

Summary:
Total moment (μB/f.u.): 0.00
Crystal system: trigonal
Energy above the most stable polymorph in this dataset (eV/atom): 0.009
Space group: R-3c
Raw formation energy (meV/atom): -351

POSCAR file:
```
Rb3BN2
1.0
-2.4640 5.6679 2.5271
-1.4033 -1.5171 6.3491
5.0875 2.5922 3.4612
N Rb B
4 6 2
direct
0.5966 0.5966 0.5966
0.4034 0.4034 0.4034
0.0966 0.0966 0.0966
0.9034 0.9034 0.9034
0.9779 0.2500 0.5221
0.0221 0.7500 0.4779
0.7500 0.4779 0.0221
0.2500 0.5221 0.9779
0.4779 0.0221 0.7500
0.5221 0.9779 0.2500
0.0000 0.0000 0.0000
0.5000 0.5000 0.5000
```

# 8
Here is a relaxed RbB6N6 crystal from Alexandria. Energies are from GGA-PBE.

Summary:
N(E_F) (states/eV/f.u.): 2.555
Total moment (μB/f.u.): 0.00
Crystal system: cubic
Space group: Pm-3
Raw formation energy (meV/atom): -246

POSCAR file:
```
RbB6N6
1.0
4.6620 0.0000 0.0000
0.0000 4.6620 0.0000
0.0000 0.0000 4.6620
N Rb B
6 1 6
direct
0.0000 0.2476 0.5000
0.5000 0.0000 0.2476
0.5000 0.0000 0.7524
0.2476 0.5000 0.0000
0.7524 0.5000 0.0000
0.0000 0.7524 0.5000
0.5000 0.5000 0.5000
0.5000 0.7706 0.0000
0.0000 0.5000 0.7706
0.0000 0.5000 0.2294
0.5000 0.2294 0.0000
0.2294 0.0000 0.5000
0.7706 0.0000 0.5000
```

# 9
Here is a relaxed Rb3BN crystal from Alexandria. Energies are from GGA-PBE.

Summary:
N(E_F) (states/eV/f.u.): 19.116
Total moment (μB/f.u.): 0.00
Crystal system: cubic
Energy above the most stable polymorph in this dataset (eV/atom): 0.000
Space group: Pm-3m
Raw formation energy (meV/atom): 1403

POSCAR file:
```
Rb3BN
1.0
-4.6904 2.6850 -1.7839
-3.2007 -3.5049 3.1403
0.3829 3.5913 4.3985
Rb N B
3 1 1
direct
0.0000 0.5000 0.0000
0.5000 0.0000 0.0000
0.0000 0.0000 0.5000
0.0000 0.0000 0.0000
0.5000 0.5000 0.5000
```

# 10
Here is a relaxed Rb2ReBN crystal from Alexandria. Energies are from GGA-PBE.

Summary:
N(E_F) (states/eV/f.u.): 3.935
Total moment (μB/f.u.): 1.42
Crystal system: tetragonal
Space group: P4/mmm
Raw formation energy (meV/atom): 914

POSCAR file:
```
Rb2ReBN
1.0
-1.8601 -0.9809 -6.2722
2.6208 -0.0799 -0.7647
0.0912 -6.5394 0.9956
Rb Re B N
2 1 1 1
direct
0.5000 0.0000 0.0000
0.0000 0.0000 0.5000
0.5000 0.5000 0.5000
0.0000 0.5000 0.0000
0.0000 0.0000 0.0000
```

# 11
Here is a relaxed RbBS2N crystal from Alexandria. Energies are from GGA-PBE.

Summary:
N(E_F) (states/eV/f.u.): 4.465
Total moment (μB/f.u.): 5.00
Crystal system: tetragonal
Energy above the most stable polymorph in this dataset (eV/atom): 2.551
Space group: P4/mmm
Raw formation energy (meV/atom): 2579

POSCAR file:
```
RbBS2N
1.0
-2.8962 -1.6413 5.0206
3.7329 -4.6870 0.6211
3.3554 3.0615 2.9364
Rb S B N
1 2 1 1
direct
0.0000 0.0000 0.0000
0.5000 0.0000 0.0000
0.0000 0.5000 0.0000
0.5000 0.5000 0.5000
0.0000 0.0000 0.5000
```

# 12
Here is a relaxed RbBS2N crystal from Alexandria. Energies are from GGA-PBE.

Summary:
N(E_F) (states/eV/f.u.): 3.385
Total moment (μB/f.u.): 0.61
Crystal system: tetragonal
Energy above the most stable polymorph in this dataset (eV/atom): 0.000
Space group: P4/mmm
Raw formation energy (meV/atom): 28

POSCAR file:
```
RbBS2N
1.0
-1.9151 2.7962 5.4374
-5.4763 1.7495 -2.8286
-1.1227 -2.2679 0.7709
B N Rb S
1 1 1 2
direct
0.0000 0.0000 0.0000
0.0000 0.0000 0.5000
0.5000 0.5000 0.5000
0.5000 0.0000 0.0000
0.0000 0.5000 0.0000
```

# 13
Here is a relaxed Rb2TaBN crystal from Alexandria. Energies are from GGA-PBE.

Summary:
N(E_F) (states/eV/f.u.): 2.917
Total moment (μB/f.u.): 3.00
Crystal system: tetragonal
Space group: P4/mmm
Raw formation energy (meV/atom): 1192

POSCAR file:
```
Rb2TaBN
1.0
-4.2174 4.5573 0.9780
-2.6601 -1.9859 -2.2170
-2.0444 -2.9940 5.1350
Rb N Ta B
2 1 1 1
direct
0.0000 0.0000 0.5000
0.5000 0.0000 0.0000
0.0000 0.0000 0.0000
0.0000 0.5000 0.0000
0.5000 0.5000 0.5000
```